# TbEuMgIn GGA-PBE optimized geometry
data_TbEuMgIn
_space_group_name_H-M_alt 'P 1'
_space_group_IT_number 1
_cell_length_a 5.458
_cell_length_b 5.458
_cell_length_c 5.458
_cell_angle_alpha 60.00
_cell_angle_beta 60.00
_cell_angle_gamma 60.00
loop_
_space_group_symop_operation_xyz
'x,y,z'
loop_
_atom_site_label
_atom_site_type_symbol
_atom_site_fract_x
_atom_site_fract_y
_atom_site_fract_z
Tb1 Tb 0.000 0.000 0.000
Eu1 Eu 0.500 0.500 0.500
Mg1 Mg 0.250 0.250 0.250
In1 In 0.750 0.750 0.750
# N(E_F) ... 7.54 states/eV per cell
# ΔE_f ... -293 meV/atom
# Final energy ... -5.102 eV/atom


# EuMgTlIn GGA-PBE optimized geometry
data_EuMgTlIn
_space_group_name_H-M_alt 'P 1'
_space_group_IT_number 1
_cell_length_a 5.346
_cell_length_b 5.346
_cell_length_c 5.346
_cell_angle_alpha 60.00
_cell_angle_beta 60.00
_cell_angle_gamma 60.00
loop_
_space_group_symop_operation_xyz
'x,y,z'
loop_
_atom_site_label
_atom_site_type_symbol
_atom_site_fract_x
_atom_site_fract_y
_atom_site_fract_z
Eu1 Eu 0.000 0.000 0.000
Mg1 Mg 0.500 0.500 0.500
Tl1 Tl 0.250 0.250 0.250
In1 In 0.750 0.750 0.750
# N(E_F) ... 0.92 states/eV per cell
# ΔE_f ... -328 meV/atom
# Final energy ... -4.571 eV/atom


# EuMgZnIn GGA-PBE optimized geometry
data_EuMgZnIn
_space_group_name_H-M_alt 'P 1'
_space_group_IT_number 1
_cell_length_a 5.138
_cell_length_b 5.138
_cell_length_c 5.138
_cell_angle_alpha 60.00
_cell_angle_beta 60.00
_cell_angle_gamma 60.00
loop_
_space_group_symop_operation_xyz
'x,y,z'
loop_
_atom_site_label
_atom_site_type_symbol
_atom_site_fract_x
_atom_site_fract_y
_atom_site_fract_z
Eu1 Eu 0.000 0.000 0.000
Mg1 Mg 0.500 0.500 0.500
Zn1 Zn 0.250 0.250 0.250
In1 In 0.750 0.750 0.750
# N(E_F) ... 6.12 states/eV per cell
# ΔE_f ... -287 meV/atom
# Final energy ... -4.257 eV/atom


# Na4EuIn GGA-PBE optimized geometry
data_Na4EuIn
_space_group_name_H-M_alt 'P 1'
_space_group_IT_number 1
_cell_length_a 6.463
_cell_length_b 6.463
_cell_length_c 6.463
_cell_angle_alpha 60.00
_cell_angle_beta 60.00
_cell_angle_gamma 60.00
loop_
_space_group_symop_operation_xyz
'x,y,z'
loop_
_atom_site_label
_atom_site_type_symbol
_atom_site_fract_x
_atom_site_fract_y
_atom_site_fract_z
Na1 Na 0.124 0.124 0.124
Na2 Na 0.124 0.124 0.629
Na3 Na 0.124 0.629 0.124
Na4 Na 0.629 0.124 0.124
Eu1 Eu 0.500 0.500 0.500
In1 In 0.750 0.750 0.750
# N(E_F) ... 16.10 states/eV per cell
# ΔE_f ... 33 meV/atom
# Final energy ... -3.015 eV/atom


# Na2EuIn GGA-PBE optimized geometry
data_Na2EuIn
_space_group_name_H-M_alt 'P 1'
_space_group_IT_number 1
_cell_length_a 4.840
_cell_length_b 4.840
_cell_length_c 5.614
_cell_angle_alpha 90.00
_cell_angle_beta 90.00
_cell_angle_gamma 90.00
loop_
_space_group_symop_operation_xyz
'x,y,z'
loop_
_atom_site_label
_atom_site_type_symbol
_atom_site_fract_x
_atom_site_fract_y
_atom_site_fract_z
Na1 Na 0.000 0.500 0.000
Na2 Na 0.500 0.000 0.000
Eu1 Eu 0.000 0.000 0.500
In1 In 0.500 0.500 0.500
# N(E_F) ... 11.32 states/eV per cell
# E above lowest polymorph ... 0 meV per atom
# ΔE_f ... -69 meV/atom
# Final energy ... -3.981 eV/atom


# NaEu2In GGA-PBE optimized geometry
data_NaEu2In
_space_group_name_H-M_alt 'P 1'
_space_group_IT_number 1
_cell_length_a 5.734
_cell_length_b 5.734
_cell_length_c 5.734
_cell_angle_alpha 60.00
_cell_angle_beta 60.00
_cell_angle_gamma 60.00
loop_
_space_group_symop_operation_xyz
'x,y,z'
loop_
_atom_site_label
_atom_site_type_symbol
_atom_site_fract_x
_atom_site_fract_y
_atom_site_fract_z
Na1 Na 0.000 0.000 0.000
Eu1 Eu 0.250 0.250 0.250
Eu2 Eu 0.750 0.750 0.750
In1 In 0.500 0.500 0.500
# N(E_F) ... 20.29 states/eV per cell
# E above lowest polymorph ... 17 meV per atom
# ΔE_f ... -198 meV/atom
# Final energy ... -6.349 eV/atom


# NaEuIn GGA-PBE optimized geometry
data_NaEuIn
_space_group_name_H-M_alt 'P 1'
_space_group_IT_number 1
_cell_length_a 6.223
_cell_length_b 6.223
_cell_length_c 6.223
_cell_angle_alpha 140.94
_cell_angle_beta 140.94
_cell_angle_gamma 56.43
loop_
_space_group_symop_operation_xyz
'x,y,z'
loop_
_atom_site_label
_atom_site_type_symbol
_atom_site_fract_x
_atom_site_fract_y
_atom_site_fract_z
Na1 Na 0.000 0.000 0.000
Eu1 Eu 0.692 0.692 0.000
In1 In 0.353 0.353 0.000
# N(E_F) ... 11.49 states/eV per cell
# ΔE_f ... -161 meV/atom
# Final energy ... -4.939 eV/atom


# NaEu2In GGA-PBE optimized geometry
data_NaEu2In
_space_group_name_H-M_alt 'P 1'
_space_group_IT_number 1
_cell_length_a 11.827
_cell_length_b 11.827
_cell_length_c 11.827
_cell_angle_alpha 18.66
_cell_angle_beta 18.66
_cell_angle_gamma 18.66
loop_
_space_group_symop_operation_xyz
'x,y,z'
loop_
_atom_site_label
_atom_site_type_symbol
_atom_site_fract_x
_atom_site_fract_y
_atom_site_fract_z
Na1 Na 0.000 0.000 0.000
Eu1 Eu 0.240 0.240 0.240
Eu2 Eu 0.760 0.760 0.760
In1 In 0.500 0.500 0.500
# N(E_F) ... 12.87 states/eV per cell
# E above lowest polymorph ... 111 meV per atom
# ΔE_f ... -103 meV/atom
# Final energy ... -6.255 eV/atom


Q: The highest final energy belongs to which entry?
A: Na4EuIn